## one
A plane-wave DFT calculation with PBE was carried out for TlSn2Sb2 after structural relaxation.

Calculated values
- D(E_F) (states/eV/atom) = 0.4312
- total moment (μB per formula unit) = 0.0

a = 8.721 Å, b = 8.721 Å, c = 3.928 Å
α = 90.00°, β = 90.00°, γ = 90.00°
Space group P4/mbm (No. 127)
Symmetry-distinct sites (fractional):
Tl (0.000, 0.000, 0.000) (multiplicity 2)
Sn (0.145, 0.355, 0.500) (multiplicity 4)
Sb (0.145, 0.645, 0.000) (multiplicity 4)



## two
A plane-wave DFT calculation with PBE was carried out for TlSn2Sb2 after structural relaxation.

Calculated values
- D(E_F) (states/eV/atom) = 0.3409
- total moment (μB per formula unit) = 0.0

a = 4.3921 Å, b = 4.3921 Å, c = 28.7824 Å
α = 90.00°, β = 90.00°, γ = 120.00°
Space group R-3m (No. 166, hexagonal axes)
Symmetry-distinct sites (fractional):
Tl (0.0000, 0.0000, 0.0000) (multiplicity 3)
Sn (0.0000, 0.0000, 0.2055) (multiplicity 6)
Sb (0.0000, 0.0000, 0.4093) (multiplicity 6)



Among the structures above, stability is greatest for two.